Entry 1:
Computed, not measured: a geometry-optimized Cs2AgMoCl6 structure at the PBE level of DFT.

**Relative energy among the computed polymorphs**: 0 meV per atom
**Uncorrected formation energy**: -1274 meV per atom

Cell lengths 7.475, 7.475, 13.231 Å; angles 73.59, 73.59, 60.00 degrees
Each line ends with the local moment (μB).
Fractional positions:
1 Cs 0.875 0.875 0.375  0.00
2 Cs 0.125 0.125 0.625  0.00
3 Cs 0.708 0.708 0.875  0.00
4 Cs 0.292 0.292 0.125  0.00
5 Ag 0.589 0.589 0.233  0.01
6 Ag 0.411 0.411 0.767  0.01
7 Mo 0.000 0.000 0.000  2.48
8 Mo 0.500 0.500 0.500  2.45
9 Cl 0.851 0.382 0.386  0.01
10 Cl 0.382 0.851 0.386  0.01
11 Cl 0.382 0.382 0.386  0.01
12 Cl 0.149 0.618 0.614  0.01
13 Cl 0.618 0.149 0.614  0.01
14 Cl 0.618 0.618 0.614  0.01
15 Cl 0.727 0.194 0.885  0.02
16 Cl 0.194 0.727 0.885  0.02
17 Cl 0.194 0.194 0.885  0.02
18 Cl 0.273 0.806 0.115  0.02
19 Cl 0.806 0.273 0.115  0.02
20 Cl 0.806 0.806 0.115  0.02

---

Entry 2:
Computed, not measured: a geometry-optimized GaTc2IrRh structure at the PBE level of DFT.

**Formation energy from the elements**: 1.507 eV/atom

Cell lengths 4.699, 4.820, 4.699 Å; angles 90.00, 90.00, 90.00 degrees
Each line ends with the local moment (μB).
Fractional positions:
1 Ir 0.000 0.000 0.000  -0.07
2 Rh 0.000 0.500 0.000  0.09
3 Tc 0.000 0.000 0.500  1.33
4 Tc 0.500 0.000 0.000  1.00
5 Ga 0.500 0.500 0.500  -0.01

---

Entry 3:
Computed, not measured: a geometry-optimized PmNd2Sm structure at the PBE level of DFT.

**Relative energy among the computed polymorphs**: 0 meV per atom
**Formation energy from the elements**: 0.012 eV/atom

Cell lengths 3.661, 3.661, 12.136 Å; angles 81.33, 81.33, 60.00 degrees
Fractional positions:
1 Nd 0.750 0.750 0.749
2 Nd 0.250 0.250 0.251
3 Sm 0.500 0.500 0.500
4 Pm 0.000 0.000 0.000

---

Entry 4:
Computed, not measured: a geometry-optimized AlTcNiP2 structure at the PBE level of DFT.

**Formation energy from the elements**: 0.721 eV/atom

Cell lengths 4.154, 4.992, 4.154 Å; angles 90.00, 90.00, 90.00 degrees
Each line ends with the local moment (μB).
Fractional positions:
1 Ni 0.000 0.000 0.000  0.08
2 Al 0.500 0.500 0.500  -0.03
3 Tc 0.000 0.500 0.000  1.95
4 P 0.000 0.000 0.500  -0.03
5 P 0.500 0.000 0.000  -0.05

---

Entry 5:
Computed, not measured: a geometry-optimized CaScAgHg2 structure at the PBE level of DFT.

**Formation energy from the elements**: 0.548 eV/atom

Cell lengths 5.394, 6.063, 5.394 Å; angles 90.00, 90.00, 90.00 degrees
Fractional positions:
1 Sc 0.000 0.000 0.000
2 Ca 0.000 0.500 0.000
3 Hg 0.000 0.000 0.500
4 Hg 0.500 0.000 0.000
5 Ag 0.500 0.500 0.500

---

Number 1: DFT total energy -3.921 eV per atom, total moment 3.000 μB per formula unit. Number 2: DFT total energy -6.487 eV per atom, total moment 2.519 μB per formula unit. Number 3: DFT total energy -4.740 eV per atom, total moment 0.000 μB per formula unit. Number 4: DFT total energy -5.421 eV per atom, total moment 2.013 μB per formula unit. Number 5: DFT total energy -1.809 eV per atom, total moment 0.000 μB per formula unit.